No. 1
Here is Ce2MgSe4 after structural relaxation from Alexandria. Energies are from PBE.

```
Ce2MgSe4
1.0
14.6137 0.0000 0.0000
0.0000 8.6191 0.0000
0.0000 0.0000 6.9520
Ce Mg Se
8 4 16
Direct
0.0000 0.0000 0.0000 Ce
0.0000 0.5000 0.0000 Ce
0.2316 0.2500 0.4890 Ce
0.2684 0.7500 0.9890 Ce
0.5000 0.0000 0.5000 Ce
0.5000 0.5000 0.5000 Ce
0.7316 0.2500 0.0110 Ce
0.7684 0.7500 0.5110 Ce
0.0952 0.7500 0.4111 Mg
0.4048 0.2500 0.9111 Mg
0.5952 0.7500 0.0889 Mg
0.9048 0.2500 0.5889 Mg
0.0680 0.2500 0.7440 Se
0.0900 0.7500 0.7780 Se
0.1706 0.5150 0.2369 Se
0.1706 0.9850 0.2369 Se
0.3294 0.0150 0.7369 Se
0.3294 0.4850 0.7369 Se
0.4100 0.2500 0.2780 Se
0.4320 0.7500 0.2440 Se
0.5680 0.2500 0.7560 Se
0.5900 0.7500 0.7220 Se
0.6706 0.5150 0.2631 Se
0.6706 0.9850 0.2631 Se
0.8294 0.0150 0.7631 Se
0.8294 0.4850 0.7631 Se
0.9100 0.2500 0.2220 Se
0.9320 0.7500 0.2560 Se
```

Values from the calculation:
Uncorrected formation energy (eV per atom): -1.598
Offset from the most stable computed form (meV per atom): 0
Density of states at the Fermi level (states/eV per cell): 48.64

***

No. 2
Here is LaZnBr2 after structural relaxation from Alexandria. Energies are from PBE.

```
LaZnBr2
1.0
7.5245 0.0000 0.0000
0.0000 7.5245 0.0000
0.0000 0.0000 7.5245
La Zn Br
4 4 8
Direct
0.0000 0.0000 0.0000 La
0.0000 0.5000 0.5000 La
0.5000 0.0000 0.5000 La
0.5000 0.5000 0.0000 La
0.0000 0.0000 0.5000 Zn
0.0000 0.5000 0.0000 Zn
0.5000 0.0000 0.0000 Zn
0.5000 0.5000 0.5000 Zn
0.2500 0.2500 0.2500 Br
0.2500 0.2500 0.7500 Br
0.2500 0.7500 0.2500 Br
0.2500 0.7500 0.7500 Br
0.7500 0.2500 0.2500 Br
0.7500 0.2500 0.7500 Br
0.7500 0.7500 0.2500 Br
0.7500 0.7500 0.7500 Br
```

Values from the calculation:
Uncorrected formation energy (eV per atom): -0.938
Offset from the most stable computed form (meV per atom): 161
Density of states at the Fermi level (states/eV per cell): 14.59

***

No. 3
Here is Tb4Sn2Pb after structural relaxation from Alexandria. Energies are from PBE.

```
Tb4Sn2Pb
1.0
2.4531 1.4163 10.7442
-2.4531 1.4163 10.7442
0.0000 -2.8326 10.7442
Tb Sn Pb
4 2 1
Direct
0.1187 0.1187 0.1187 Tb
0.2984 0.2984 0.2984 Tb
0.7016 0.7016 0.7016 Tb
0.8813 0.8813 0.8813 Tb
0.4017 0.4017 0.4017 Sn
0.5983 0.5983 0.5983 Sn
0.5000 0.5000 0.5000 Pb
```

Values from the calculation:
Raw total energy (eV/atom): -4.765
Density of states at the Fermi level (states/eV per cell): 3.21

***

No. 4
Here is ZrInBi2W after structural relaxation from Alexandria. Energies are from PBE.

```
ZrInBi2W
1.0
5.3772 0.0000 0.0000
0.0000 5.3772 0.0000
0.0000 0.0000 5.2817
Zr In Bi W
1 1 2 1
Direct
0.0000 0.0000 0.0000 Zr
0.5000 0.5000 0.0000 In
0.0000 0.5000 0.5000 Bi
0.5000 0.0000 0.5000 Bi
0.5000 0.5000 0.5000 W
```

Values from the calculation:
Raw total energy (eV/atom): -5.315
Density of states at the Fermi level (states/eV per cell): 7.55

***

No. 5
Here is LaCrIn2 after structural relaxation from Alexandria. Energies are from PBE.

```
LaCrIn2
1.0
4.8722 0.0000 0.0000
0.0000 4.8722 0.0000
0.0000 0.0000 8.6403
La Cr In
2 2 4
Direct
0.0000 0.0000 0.0000 La
0.5000 0.5000 0.5000 La
0.0000 0.5000 0.7500 Cr
0.5000 0.0000 0.2500 Cr
0.0000 0.0000 0.5000 In
0.0000 0.5000 0.2500 In
0.5000 0.0000 0.7500 In
0.5000 0.5000 0.0000 In
```

Values from the calculation:
Raw total energy (eV/atom): -4.957
Density of states at the Fermi level (states/eV per cell): 5.19

***

No. 6
Here is NaAsC2 after structural relaxation from Alexandria. Energies are from PBE.

```
NaAsC2
1.0
5.2011 0.0000 0.0000
0.0000 5.2011 0.0000
0.0000 0.0000 9.4849
Na As C
4 4 8
Direct
0.0000 0.0000 0.0000 Na
0.0000 0.5000 0.2500 Na
0.5000 0.0000 0.7500 Na
0.5000 0.5000 0.5000 Na
0.0000 0.0000 0.5000 As
0.0000 0.5000 0.7500 As
0.5000 0.0000 0.2500 As
0.5000 0.5000 0.0000 As
0.1406 0.2500 0.6250 C
0.2500 0.6406 0.8750 C
0.2500 0.8594 0.3750 C
0.3594 0.2500 0.1250 C
0.6406 0.7500 0.1250 C
0.7500 0.1406 0.3750 C
0.7500 0.3594 0.8750 C
0.8594 0.7500 0.6250 C
```

Values from the calculation:
Raw total energy (eV/atom): -4.655
Density of states at the Fermi level (states/eV per cell): 1.84

***

No. 7
Here is CrGePdRu after structural relaxation from Alexandria. Energies are from PBE.

```
CrGePdRu
1.0
6.1205 0.0000 0.0000
0.0000 6.1205 0.0000
0.0000 0.0000 6.1205
Cr Ge Pd Ru
4 4 4 4
Direct
0.0000 0.0000 0.0000 Cr
0.0000 0.5000 0.5000 Cr
0.5000 0.0000 0.5000 Cr
0.5000 0.5000 0.0000 Cr
0.0000 0.0000 0.5000 Ge
0.0000 0.5000 0.0000 Ge
0.5000 0.0000 0.0000 Ge
0.5000 0.5000 0.5000 Ge
0.2500 0.2500 0.7500 Pd
0.2500 0.7500 0.2500 Pd
0.7500 0.2500 0.2500 Pd
0.7500 0.7500 0.7500 Pd
0.2500 0.2500 0.2500 Ru
0.2500 0.7500 0.7500 Ru
0.7500 0.2500 0.7500 Ru
0.7500 0.7500 0.2500 Ru
```

Values from the calculation:
Raw total energy (eV/atom): -7.266
Density of states at the Fermi level (states/eV per cell): 14.54

***

No. 8
Here is Tb3TmTl3 after structural relaxation from Alexandria. Energies are from PBE.

```
Tb3TmTl3
1.0
9.3929 0.0000 0.0000
-4.6965 8.1345 0.0000
0.0000 0.0000 5.2553
Tb Tm Tl
6 2 6
Direct
0.0035 0.2365 0.2500 Tb
0.2330 0.9965 0.2500 Tb
0.2365 0.2330 0.7500 Tb
0.7635 0.7670 0.2500 Tb
0.7670 0.0035 0.7500 Tb
0.9965 0.7635 0.7500 Tb
0.3333 0.6667 0.2500 Tm
0.6667 0.3333 0.7500 Tm
0.0719 0.4508 0.7500 Tl
0.3789 0.9281 0.7500 Tl
0.4508 0.3789 0.2500 Tl
0.5492 0.6211 0.7500 Tl
0.6211 0.0719 0.2500 Tl
0.9281 0.5492 0.2500 Tl
```

Values from the calculation:
Offset from the most stable computed form (meV per atom): 52
Density of states at the Fermi level (states/eV per cell): 10.49

***

No. 9
Here is La2PmPtO5 after structural relaxation from Alexandria. Energies are from PBE.

```
La2PmPtO5
1.0
6.8568 0.0000 0.0000
0.0000 6.8568 0.0000
0.0000 0.0000 5.8099
La Pm Pt O
4 2 2 10
Direct
0.1698 0.3302 0.0000 La
0.3302 0.8302 0.0000 La
0.6698 0.1698 0.0000 La
0.8302 0.6698 0.0000 La
0.0000 0.0000 0.5000 Pm
0.5000 0.5000 0.5000 Pm
0.0000 0.5000 0.5000 Pt
0.5000 0.0000 0.5000 Pt
0.0000 0.0000 0.0000 O
0.1504 0.6504 0.2577 O
0.1504 0.6504 0.7423 O
0.3496 0.1504 0.2577 O
0.3496 0.1504 0.7423 O
0.5000 0.5000 0.0000 O
0.6504 0.8496 0.2577 O
0.6504 0.8496 0.7423 O
0.8496 0.3496 0.2577 O
0.8496 0.3496 0.7423 O
```

Values from the calculation:
Uncorrected formation energy (eV per atom): -2.434
Density of states at the Fermi level (states/eV per cell): 6.84

***

No. 10
Here is CaAs4Pd12 after structural relaxation from Alexandria. Energies are from PBE.

```
CaAs4Pd12
1.0
-4.2869 4.2869 4.2869
4.2869 -4.2869 4.2869
4.2869 4.2869 -4.2869
Ca As Pd
1 4 12
Direct
0.0000 0.0000 0.0000 Ca
0.0000 0.0000 0.5000 As
0.0000 0.5000 0.0000 As
0.5000 0.0000 0.0000 As
0.5000 0.5000 0.5000 As
0.1648 0.3429 0.5076 Pd
0.1648 0.6571 0.8219 Pd
0.1781 0.8352 0.3429 Pd
0.3429 0.1781 0.8352 Pd
0.3429 0.5076 0.1648 Pd
0.4924 0.8352 0.6571 Pd
0.5076 0.1648 0.3429 Pd
0.6571 0.4924 0.8352 Pd
0.6571 0.8219 0.1648 Pd
0.8219 0.1648 0.6571 Pd
0.8352 0.3429 0.1781 Pd
0.8352 0.6571 0.4924 Pd
```

Values from the calculation:
Raw total energy (eV/atom): -5.136
Density of states at the Fermi level (states/eV per cell): 9.10

***

No. 11
Here is Pm2Zn3InAg4 after structural relaxation from Alexandria. Energies are from PBE.

```
Pm2Zn3InAg4
1.0
4.2165 0.0000 0.0000
0.0000 4.2165 0.0000
0.0000 0.0000 12.0368
Pm Zn In Ag
2 3 1 4
Direct
0.0000 0.5000 0.2401 Pm
0.5000 0.0000 0.7599 Pm
0.0000 0.5000 0.8640 Zn
0.5000 0.0000 0.1360 Zn
0.5000 0.5000 0.5000 Zn
0.0000 0.0000 0.5000 In
0.0000 0.0000 0.0000 Ag
0.0000 0.5000 0.6511 Ag
0.5000 0.0000 0.3489 Ag
0.5000 0.5000 0.0000 Ag
```

Values from the calculation:
Raw total energy (eV/atom): -2.977
Density of states at the Fermi level (states/eV per cell): 5.84

***

No. 12
Here is LaYSb2 after structural relaxation from Alexandria. Energies are from PBE.

```
LaYSb2
1.0
4.5179 0.0000 0.0000
0.0000 4.5179 0.0000
0.0000 0.0000 6.3750
La Y Sb
1 1 2
Direct
0.0000 0.0000 0.0000 La
0.5000 0.5000 0.5000 Y
0.0000 0.0000 0.5000 Sb
0.5000 0.5000 0.0000 Sb
```

Values from the calculation:
Uncorrected formation energy (eV per atom): -1.193
Offset from the most stable computed form (meV per atom): 26
Density of states at the Fermi level (states/eV per cell): 0.51

***

No. 13
Here is Sc3SbO after structural relaxation from Alexandria. Energies are from PBE.

```
Sc3SbO
1.0
7.2643 -1.9218 0.0000
7.2643 1.9218 0.0000
-1.6376 0.0000 7.4604
Sc Sb O
6 2 2
Direct
0.0397 0.0397 0.3354 Sc
0.1611 0.1611 0.9488 Sc
0.3332 0.3332 0.3748 Sc
0.6668 0.6668 0.6252 Sc
0.8389 0.8389 0.0512 Sc
0.9603 0.9603 0.6646 Sc
0.3301 0.3301 0.7629 Sb
0.6699 0.6699 0.2371 Sb
0.0978 0.0978 0.6318 O
0.9022 0.9022 0.3682 O
```

Values from the calculation:
Uncorrected formation energy (eV per atom): -1.445
Offset from the most stable computed form (meV per atom): 41
Density of states at the Fermi level (states/eV per cell): 8.48

***

No. 14
Here is Tb2Zn3CdCu12 after structural relaxation from Alexandria. Energies are from PBE.

```
Tb2Zn3CdCu12
1.0
4.4411 2.5641 4.1075
-4.4411 2.5641 4.1075
0.0000 -5.1281 4.1075
Tb Zn Cd Cu
2 3 1 12
Direct
0.2054 0.2054 0.2054 Tb
0.7946 0.7946 0.7946 Tb
0.0000 0.5000 0.5000 Zn
0.5000 0.0000 0.5000 Zn
0.5000 0.5000 0.0000 Zn
0.5000 0.5000 0.5000 Cd
0.0843 0.0843 0.6354 Cu
0.0843 0.6354 0.0843 Cu
0.2111 0.7023 0.7022 Cu
0.2978 0.2978 0.7889 Cu
0.2978 0.7889 0.2978 Cu
0.3646 0.9157 0.9157 Cu
0.6354 0.0843 0.0843 Cu
0.7022 0.2111 0.7022 Cu
0.7022 0.7022 0.2111 Cu
0.7889 0.2978 0.2978 Cu
0.9157 0.3646 0.9157 Cu
0.9157 0.9157 0.3646 Cu
```

Values from the calculation:
Raw total energy (eV/atom): -3.444
Density of states at the Fermi level (states/eV per cell): 9.09

***

No. 15
Here is LaGa6Ru4 after structural relaxation from Alexandria. Energies are from PBE.

```
LaGa6Ru4
1.0
-3.3123 3.3123 4.6857
3.3123 -3.3123 4.6857
3.3123 3.3123 -4.6857
La Ga Ru
1 6 4
Direct
0.0000 0.0000 0.0000 La
0.0000 0.5000 0.5000 Ga
0.1045 0.1045 0.6194 Ga
0.4850 0.4850 0.3806 Ga
0.5000 0.0000 0.5000 Ga
0.5150 0.8955 0.0000 Ga
0.8955 0.5150 0.0000 Ga
0.2566 0.5728 0.0000 Ru
0.4272 0.4272 0.6838 Ru
0.5728 0.2566 0.0000 Ru
0.7434 0.7434 0.3162 Ru
```

Values from the calculation:
Raw total energy (eV/atom): -5.719
Density of states at the Fermi level (states/eV per cell): 7.64

***

No. 16
Here is TbPm2Cl after structural relaxation from Alexandria. Energies are from PBE.

```
TbPm2Cl
1.0
3.6585 0.0000 0.0000
-1.8293 3.1684 0.0000
0.0000 0.0000 30.7032
Tb Pm Cl
3 6 3
Direct
0.0000 0.0000 0.0000 Tb
0.3333 0.6667 0.6667 Tb
0.6667 0.3333 0.3333 Tb
0.0000 0.0000 0.2395 Pm
0.0000 0.0000 0.7605 Pm
0.3333 0.6667 0.4272 Pm
0.3333 0.6667 0.9062 Pm
0.6667 0.3333 0.0938 Pm
0.6667 0.3333 0.5728 Pm
0.0000 0.0000 0.5000 Cl
0.3333 0.6667 0.1667 Cl
0.6667 0.3333 0.8333 Cl
```

Values from the calculation:
Uncorrected formation energy (eV per atom): -0.670
Density of states at the Fermi level (states/eV per cell): 11.50

***

No. 17
Here is CsRbGa4Sn6 after structural relaxation from Alexandria. Energies are from PBE.

```
CsRbGa4Sn6
1.0
6.4851 0.0000 0.0000
-3.2426 5.6163 0.0000
0.0000 0.0000 10.9629
Cs Rb Ga Sn
1 1 4 6
Direct
0.0000 0.0000 0.0000 Cs
0.0000 0.0000 0.5000 Rb
0.3333 0.6667 0.3875 Ga
0.3333 0.6667 0.6125 Ga
0.6667 0.3333 0.3875 Ga
0.6667 0.3333 0.6125 Ga
0.0000 0.5000 0.1923 Sn
0.0000 0.5000 0.8077 Sn
0.5000 0.0000 0.1923 Sn
0.5000 0.0000 0.8077 Sn
0.5000 0.5000 0.1923 Sn
0.5000 0.5000 0.8077 Sn
```

Values from the calculation:
Raw total energy (eV/atom): -3.133
Density of states at the Fermi level (states/eV per cell): 9.77

***

No. 18
Here is MgZr2HRu after structural relaxation from Alexandria. Energies are from PBE.

```
MgZr2HRu
1.0
4.6762 0.0000 0.0000
0.0000 4.6762 0.0000
0.0000 0.0000 3.6438
Mg Zr H Ru
1 2 1 1
Direct
0.0000 0.0000 0.0000 Mg
0.0000 0.5000 0.5000 Zr
0.5000 0.0000 0.5000 Zr
0.5000 0.5000 0.5000 H
0.5000 0.5000 0.0000 Ru
```

Values from the calculation:
Raw total energy (eV/atom): -6.484
Density of states at the Fermi level (states/eV per cell): 2.43

***

No. 19
Here is Ce2GaHg2 after structural relaxation from Alexandria. Energies are from PBE.

```
Ce2GaHg2
1.0
10.2373 0.0000 0.0000
0.0000 4.1919 0.0000
-4.7729 0.0000 5.5718
Ce Ga Hg
4 2 4
Direct
0.2172 0.0000 0.3418 Ce
0.2828 0.5000 0.6582 Ce
0.7172 0.5000 0.3418 Ce
0.7828 0.0000 0.6582 Ce
0.0000 0.0000 0.5000 Ga
0.5000 0.5000 0.5000 Ga
0.1035 0.5000 0.8997 Hg
0.3965 0.0000 0.1003 Hg
0.6035 0.0000 0.8997 Hg
0.8965 0.5000 0.1003 Hg
```

Values from the calculation:
Offset from the most stable computed form (meV per atom): 15
Density of states at the Fermi level (states/eV per cell): 16.64

***

No. 20
Here is Ac3SmB4O12 after structural relaxation from Alexandria. Energies are from PBE.

```
Ac3SmB4O12
1.0
5.2602 3.0370 3.1295
-5.2602 3.0370 3.1295
0.0000 -6.0739 3.1295
Ac Sm B O
3 1 4 12
Direct
0.0000 0.5127 0.4873 Ac
0.4873 0.0000 0.5127 Ac
0.5127 0.4873 0.0000 Ac
0.0000 0.0000 0.0000 Sm
0.0146 0.5000 0.9854 B
0.5000 0.5000 0.5000 B
0.5000 0.9854 0.0146 B
0.9854 0.0146 0.5000 B
0.0233 0.6463 0.8662 O
0.1160 0.8840 0.5000 O
0.1338 0.3538 0.9767 O
0.3537 0.9767 0.1338 O
0.3693 0.6307 0.5000 O
0.5000 0.1160 0.8840 O
0.5000 0.3693 0.6307 O
0.6307 0.5000 0.3693 O
0.6463 0.8662 0.0233 O
0.8662 0.0233 0.6463 O
0.8840 0.5000 0.1160 O
0.9767 0.1338 0.3538 O
```

Values from the calculation:
Uncorrected formation energy (eV per atom): -3.007
Density of states at the Fermi level (states/eV per cell): 0.00